No. 1
# PuMg15Cd4, relaxed, DFT GGA-PBE
data_PuMg15Cd4
_symmetry_space_group_name_H-M 'P 4/m m m'
_symmetry_Int_Tables_number 123
_symmetry_space_group_name_Hall '-P 4 2'
_cell_length_a 4.608
_cell_length_b 4.608
_cell_length_c 21.533
_cell_angle_alpha 90.00
_cell_angle_beta 90.00
_cell_angle_gamma 90.00
loop_
_atom_site_label
_atom_site_type_symbol
_atom_site_fract_x
_atom_site_fract_y
_atom_site_fract_z
Pu1 Pu 0.000 0.000 0.000
Mg1 Mg 0.000 0.500 0.108
Mg2 Mg 0.000 0.500 0.303
Mg3 Mg 0.000 0.500 0.500
Mg4 Mg 0.500 0.500 0.000
Mg5 Mg 0.500 0.500 0.208
Mg6 Mg 0.500 0.500 0.401
Cd1 Cd 0.000 0.000 0.203
Cd2 Cd 0.000 0.000 0.403
# Total DFT energy (no corrections) ... -2.110 eV/atom
# Formation energy from the elements ... -0.0147 eV per atom

No. 2
# PuMgCd17, relaxed, DFT GGA-PBE
data_PuMgCd17
_symmetry_space_group_name_H-M 'R 3 m'
_symmetry_Int_Tables_number 160
_symmetry_space_group_name_Hall 'R 3 -2"'
_cell_length_a 9.9463
_cell_length_b 9.9463
_cell_length_c 15.5666
_cell_angle_alpha 90.00
_cell_angle_beta 90.00
_cell_angle_gamma 120.00
loop_
_atom_site_label
_atom_site_type_symbol
_atom_site_fract_x
_atom_site_fract_y
_atom_site_fract_z
Pu1 Pu 0.0000 0.0000 0.0000
Mg1 Mg 0.0000 0.0000 0.6486
Cd1 Cd 0.0000 0.0000 0.2561
Cd2 Cd 0.0000 0.0000 0.4429
Cd3 Cd 0.0023 0.3048 0.3361
Cd4 Cd 0.0325 0.5163 0.1981
Cd5 Cd 0.0520 0.5260 0.8248
Cd6 Cd 0.0959 0.5480 0.4799
# Total DFT energy (no corrections) ... -1.655 eV/atom
# Formation energy from the elements ... 0.0024 eV per atom

No. 3
# PuMgCd, relaxed, DFT GGA-PBE
data_PuMgCd
_symmetry_space_group_name_H-M 'I 4 m m'
_symmetry_Int_Tables_number 107
_symmetry_space_group_name_Hall 'I 4 -2'
_cell_length_a 3.131
_cell_length_b 3.131
_cell_length_c 14.521
_cell_angle_alpha 90.00
_cell_angle_beta 90.00
_cell_angle_gamma 90.00
loop_
_atom_site_label
_atom_site_type_symbol
_atom_site_fract_x
_atom_site_fract_y
_atom_site_fract_z
Pu1 Pu 0.000 0.000 0.000
Mg1 Mg 0.000 0.000 0.323
Cd1 Cd 0.000 0.000 0.672
# Total DFT energy (no corrections) ... -5.628 eV/atom
# Formation energy from the elements ... -0.0139 eV per atom

No. 4
# PuMg2Cd, relaxed, DFT GGA-PBE
data_PuMg2Cd
_symmetry_space_group_name_H-M 'P 4/m m m'
_symmetry_Int_Tables_number 123
_symmetry_space_group_name_Hall '-P 4 2'
_cell_length_a 3.141
_cell_length_b 3.141
_cell_length_c 9.495
_cell_angle_alpha 90.00
_cell_angle_beta 90.00
_cell_angle_gamma 90.00
loop_
_atom_site_label
_atom_site_type_symbol
_atom_site_fract_x
_atom_site_fract_y
_atom_site_fract_z
Pu1 Pu 0.000 0.000 0.000
Mg1 Mg 0.500 0.500 0.270
Cd1 Cd 0.000 0.000 0.500
# Energy above the most stable polymorph in this dataset ... 0 meV per atom
# Total DFT energy (no corrections) ... -4.601 eV/atom
# Formation energy from the elements ... 0.0085 eV per atom